Record 1
! BaLa2CdIr (PBE, relaxed); values from VASP
&SYSTEM
  ibrav = 0, nat = 5, ntyp = 4
/
ATOMIC_SPECIES
La 138.91 La.upf
Ba 137.33 Ba.upf
Ir 192.22 Ir.upf
Cd 112.41 Cd.upf
CELL_PARAMETERS angstrom
5.599 0.000 0.000
0.000 5.599 0.000
0.000 0.000 5.557
ATOMIC_POSITIONS angstrom
La 2.799 0.000 0.000
La 0.000 2.799 0.000
Ba 2.799 2.799 2.779
Ir 0.000 0.000 0.000
Cd 0.000 0.000 2.779
! Density of states at the Fermi level ... 3.07 states/eV per cell
! E above lowest polymorph ... 0.000 eV per atom
! Space-group type ... P4/mmm (123)
! Size of the total moment ... 0.0 μB per formula unit
! Energy of formation from the pure elements ... -0.31 eV/atom
! V ... 34.84 Å³ per atom


Record 2
! YTmLu2 (PBE, relaxed); values from VASP
&SYSTEM
  ibrav = 0, nat = 4, ntyp = 3
/
ATOMIC_SPECIES
Lu 174.97 Lu.upf
Y 88.91 Y.upf
Tm 168.93 Tm.upf
CELL_PARAMETERS angstrom
-2.125 -2.536 -1.134
2.506 -2.366 0.597
-3.390 -1.271 9.196
ATOMIC_POSITIONS angstrom
Lu -2.552 -0.957 6.924
Lu -0.838 -0.314 2.272
Y -1.505 -3.087 4.329
Tm 0.190 -2.451 -0.269
! Density of states at the Fermi level ... 5.56 states/eV per cell
! E above lowest polymorph ... 0.000 eV per atom
! Space-group type ... P4/mmm (123)
! Size of the total moment ... 0.0 μB per formula unit
! Energy of formation from the pure elements ... 0.03 eV/atom
! V ... 30.22 Å³ per atom


Record 3
! Ca2InSi3Au4 (PBE, relaxed); values from VASP
&SYSTEM
  ibrav = 0, nat = 10, ntyp = 4
/
ATOMIC_SPECIES
In 114.82 In.upf
Si 28.09 Si.upf
Au 196.97 Au.upf
Ca 40.08 Ca.upf
CELL_PARAMETERS angstrom
4.340 0.000 0.000
0.000 4.340 0.000
0.000 0.000 10.917
ATOMIC_POSITIONS angstrom
In 2.170 2.170 5.459
Si 0.000 2.170 1.375
Si 2.170 0.000 9.542
Si 0.000 0.000 5.459
Au 2.170 2.170 0.000
Au 0.000 2.170 3.788
Au 0.000 0.000 0.000
Au 2.170 0.000 7.129
Ca 2.170 0.000 2.558
Ca 0.000 2.170 8.360
! Density of states at the Fermi level ... 4.36 states/eV per cell
! Space-group type ... P-4m2 (115)
! Size of the total moment ... 0.0 μB per formula unit
! V ... 20.56 Å³ per atom
! Formation energy (no corrections) ... -42.91 kJ/mol of atoms


Record 4
! NiOsBr2 (PBE, relaxed); values from VASP
&SYSTEM
  ibrav = 0, nat = 4, ntyp = 3
/
ATOMIC_SPECIES
Br 79.90 Br.upf
Os 190.23 Os.upf
Ni 58.69 Ni.upf
CELL_PARAMETERS angstrom
3.251 -0.004 0.000
-1.842 2.679 0.000
0.000 0.000 8.226
ATOMIC_POSITIONS angstrom
Br 0.000 0.000 0.066
Br 0.000 0.000 4.047
Os 0.705 1.338 6.169
Ni 0.705 1.338 2.056
! Density of states at the Fermi level ... 4.87 states/eV per cell
! E above lowest polymorph ... 0.613 eV per atom
! Space-group type ... Cmmm (65)
! Size of the total moment ... 0.2 μB per formula unit
! V ... 17.90 Å³ per atom
! Formation energy (no corrections) ... 102.30 kJ/mol of atoms


Record 5
! CdPb2F5 (PBE, relaxed); values from VASP
&SYSTEM
  ibrav = 0, nat = 8, ntyp = 3
/
ATOMIC_SPECIES
F 19.00 F.upf
Cd 112.41 Cd.upf
Pb 207.20 Pb.upf
CELL_PARAMETERS angstrom
5.845 -0.357 -0.896
-0.494 6.657 -0.938
-3.497 -3.762 5.191
ATOMIC_POSITIONS angstrom
F 3.856 4.805 -1.256
F 4.026 0.815 -0.060
F 3.197 3.468 1.159
F 1.163 1.017 1.006
F -2.770 1.287 4.194
Cd 1.609 2.671 2.688
Pb 2.910 -0.693 1.318
Pb -0.860 3.352 0.642
! Density of states at the Fermi level ... 1.41 states/eV per cell
! Space-group type ... P1 (1)
! Size of the total moment ... 0.0 μB per formula unit
! V ... 19.60 Å³ per atom
! Formation energy (no corrections) ... -193.36 kJ/mol of atoms


Record 6
! CeBiPd4 (PBE, relaxed); values from VASP
&SYSTEM
  ibrav = 0, nat = 6, ntyp = 3
/
ATOMIC_SPECIES
Pd 106.42 Pd.upf
Ce 140.12 Ce.upf
Bi 208.98 Bi.upf
CELL_PARAMETERS angstrom
5.473 0.000 0.000
2.736 4.739 0.000
2.736 1.580 4.468
ATOMIC_POSITIONS angstrom
Pd 5.473 1.584 2.791
Pd 5.473 3.160 0.563
Pd 4.108 3.947 2.791
Pd 6.837 3.947 2.791
Ce 2.736 1.580 1.117
Bi 0.000 0.000 0.000
! Density of states at the Fermi level ... 8.41 states/eV per cell
! E above lowest polymorph ... 0.000 eV per atom
! Space-group type ... F-43m (216)
! Size of the total moment ... 0.3 μB per formula unit
! Energy of formation from the pure elements ... -0.54 eV/atom
! V ... 19.32 Å³ per atom